## InCoAs2O8 (PBE with a Hubbard U)

Data for a relaxed InCoAs2O8 crystal.

a = 5.5659 Å, b = 5.5659 Å, c = 5.8656 Å
α = 90.00°, β = 90.00°, γ = 120.00°
Space group P-3m1 (No. 164)
One atom of each set of equivalent atoms:
In 0.0000 0.0000 0.0000 x1
Co 0.0000 0.0000 0.5000 x1
As 0.3333 0.6667 0.6403 x2
O 0.1599 0.3198 0.7359 x6
O 0.3333 0.6667 0.3592 x2

As for the energy: -68.715 eV/f.u.